Arrangement w

YPtCl2 | PBE | optimized geometry

Geometry as POSCAR:
```
YPtCl2
1.0
4.8761 0.0000 0.0000
2.4381 4.2228 0.0000
2.4381 1.4076 3.9813
Y Pt Cl
1 1 2
direct
0.2500 0.2500 0.2500
0.5000 0.5000 0.5000
0.0000 0.0000 0.0000
0.7500 0.7500 0.7500
```

Summary:
mass density	7.2	g cm⁻³
DOS(E_F)	4.73	states/eV/f.u.
M_tot	0.00	μB/f.u.
SG	F-43m, No. 216


Arrangement x

YPtCl2 | PBE | optimized geometry

Geometry as POSCAR:
```
YPtCl2
1.0
-2.8218 4.3399 1.5306
-4.2691 -1.2063 3.0756
5.2304 -1.3290 0.1289
Y Pt Cl
1 1 2
direct
0.7500 0.2500 0.5000
0.5000 0.5000 0.0000
0.0000 0.0000 0.0000
0.2500 0.7500 0.5000
```

Summary:
mass density	7.4	g cm⁻³
DOS(E_F)	1.65	states/eV/f.u.
M_tot	0.00	μB/f.u.
SG	I-4m2, No. 119


Arrangement y

YPtCl2 | PBE | optimized geometry

Geometry as POSCAR:
```
YPtCl2
1.0
-0.4757 3.2959 -0.0466
-1.9469 -0.3189 -2.6834
-6.1539 -0.8238 4.5627
Y Pt Cl
1 1 2
direct
0.5000 0.5000 0.7500
0.5000 0.5000 0.2500
0.0000 0.0000 0.9467
0.0000 0.0000 0.5533
```

Summary:
mass density	6.9	g cm⁻³
DOS(E_F)	2.48	states/eV/f.u.
M_tot	0.00	μB/f.u.
SG	P4/mmm, No. 123


Arrangement z

YPtCl2 | PBE | optimized geometry

Geometry as POSCAR:
```
YPtCl2
1.0
-0.0897 3.8838 -0.6476
-4.9179 -0.4440 -1.9821
-4.2516 0.4319 3.1792
Y Pt Cl
1 1 2
direct
0.5000 0.7286 0.7281
0.0000 0.5228 0.5232
0.0000 0.9741 0.9747
0.5000 0.2745 0.2739
```

Summary:
mass density	6.1	g cm⁻³
DOS(E_F)	0.05	states/eV/f.u.
M_tot	0.00	μB/f.u.
SG	Amm2, No. 38


It comes down to arrangement z, which is 286 meV/atom more stable than the next structure.


Arrangement w

YPtCl2 | PBE | optimized geometry

Geometry as POSCAR:
```
YPtCl2
1.0
-3.0117 -6.7906 -1.4586
0.9728 -5.1266 -5.4847
2.5261 4.4932 5.5444
Y Pt Cl
1 1 2
direct
0.2500 0.7500 0.5000
0.7500 0.2500 0.5000
0.1055 0.1055 0.0000
0.3945 0.3945 0.0000
```

Summary:
mass density	5.0	g cm⁻³
DOS(E_F)	1.26	states/eV/f.u.
M_tot	0.00	μB/f.u.
SG	Immm, No. 71


Arrangement x

YPtCl2 | PBE | optimized geometry

Geometry as POSCAR:
```
YPtCl2
1.0
-8.5804 -0.8445 1.1100
-7.3760 -2.2701 4.0011
-7.7397 1.1452 3.7887
Y Pt Cl
1 1 2
direct
0.5000 0.5000 0.5000
0.0000 0.0000 0.0000
0.9076 0.9076 0.9076
0.0924 0.0924 0.0924
```

Summary:
mass density	6.8	g cm⁻³
DOS(E_F)	2.34	states/eV/f.u.
M_tot	0.00	μB/f.u.
SG	R-3m, No. 166


Arrangement y

YPtCl2 | PBE | optimized geometry

Geometry as POSCAR:
```
YPtCl2
1.0
-3.1833 -4.6683 4.0224
-1.7637 -6.5932 1.2349
3.8366 -0.6164 2.3797
Y Pt Cl
1 1 2
direct
0.2500 0.2500 0.2500
0.7500 0.7500 0.7500
0.8954 0.8954 0.0311
0.6046 0.6046 0.4689
```

Summary:
mass density	5.3	g cm⁻³
DOS(E_F)	1.41	states/eV/f.u.
M_tot	0.00	μB/f.u.
SG	C2/m, No. 12


It comes down to arrangement y, which is 45 meV/atom more stable than the next structure.


Arrangement w

Y2PtCl | PBE | optimized geometry

Geometry as POSCAR:
```
Y2PtCl
1.0
5.1564 -0.1097 0.0000
-0.1324 5.1559 0.0000
0.0000 0.0000 3.3126
Cl Pt Y
1 1 2
direct
0.5000 0.0000 0.5000
0.0000 0.5000 0.5000
0.0000 0.0000 0.0000
0.5000 0.5000 0.0000
```

Summary:
mass density	7.7	g cm⁻³
DOS(E_F)	2.98	states/eV/f.u.
M_tot	0.00	μB/f.u.
SG	Cmmm, No. 65


Arrangement x

Y2PtCl | PBE | optimized geometry

Geometry as POSCAR:
```
Y2PtCl
1.0
7.7069 -0.0022 0.0116
6.8307 3.5689 0.0116
-0.0059 -0.0014 3.7839
Cl Pt Y
1 1 2
direct
0.4633 0.4633 0.3751
0.7022 0.7022 0.8749
0.0590 0.0590 0.8751
0.2754 0.2754 0.3749
```

Summary:
mass density	6.5	g cm⁻³
DOS(E_F)	2.57	states/eV/f.u.
M_tot	0.58	μB/f.u.
SG	Amm2, No. 38


Arrangement y

Y2PtCl | PBE | optimized geometry

Geometry as POSCAR:
```
Y2PtCl
1.0
4.0403 0.0000 0.0000
2.0202 3.4990 0.0000
2.0202 1.1663 7.5704
Y Pt Cl
2 1 1
direct
0.0689 0.0689 0.7932
0.2682 0.2682 0.1955
0.6680 0.6680 0.9959
0.4949 0.4949 0.5154
```

Summary:
mass density	6.3	g cm⁻³
DOS(E_F)	3.41	states/eV/f.u.
M_tot	0.00	μB/f.u.
SG	R3m, No. 160


It comes down to arrangement y, which is 70 meV/atom more stable than the next structure.


Arrangement w

Y2PtCl | PBE | optimized geometry

Geometry as POSCAR:
```
Y2PtCl
1.0
5.2410 0.0044 -0.0047
0.3167 5.2314 0.0047
-1.9732 -3.4731 3.3930
Cl Pt Y
1 1 2
direct
0.7500 0.2500 0.5000
0.2500 0.7500 0.5000
0.9971 0.9971 0.0000
0.5029 0.5029 0.0000
```

Summary:
mass density	7.3	g cm⁻³
DOS(E_F)	2.99	states/eV/f.u.
M_tot	0.00	μB/f.u.
SG	Immm, No. 71


Arrangement x

Y2PtCl | PBE | optimized geometry

Geometry as POSCAR:
```
Y2PtCl
1.0
-0.8315 2.7671 4.1314
-3.0186 -1.7486 3.6397
1.9511 -1.4267 4.4243
Cl Pt Y
1 1 2
direct
0.5000 0.5000 0.5000
0.7500 0.7500 0.7500
0.0000 0.0000 0.0000
0.2500 0.2500 0.2500
```

Summary:
mass density	7.5	g cm⁻³
DOS(E_F)	3.59	states/eV/f.u.
M_tot	0.00	μB/f.u.
SG	F-43m, No. 216


Arrangement y

Y2PtCl | PBE | optimized geometry

Geometry as POSCAR:
```
Y2PtCl
1.0
6.1838 0.0000 0.0000
0.0000 6.1838 0.0000
3.0919 3.0919 6.5868
Y Pt Cl
4 2 2
direct
0.6366 0.1250 0.2500
0.1134 0.6250 0.2500
0.3750 0.3634 0.7500
0.8750 0.8866 0.7500
0.0000 0.0000 0.0000
0.7500 0.2500 0.5000
0.5000 0.5000 0.0000
0.2500 0.7500 0.5000
```

Summary:
mass density	5.4	g cm⁻³
DOS(E_F)	3.31	states/eV/f.u.
M_tot	0.00	μB/f.u.
SG	I-42d, No. 122


It comes down to arrangement w, which is 156 meV/atom more stable than the next structure.